(1)
First-principles (GGA-PBE) data for a geometry-optimized DyAlBi2O6 structure, as listed in Alexandria.

abc: 5.522 5.922 8.057
angles: 90.00 90.39 90.00
Fractional coordinates of all 20 atoms:
Dy (0.500, 0.000, 0.500)
Dy (0.000, 0.500, 0.000)
Al (0.500, 0.000, 0.000)
Al (0.000, 0.500, 0.500)
Bi (0.010, 0.955, 0.242)
Bi (0.510, 0.545, 0.742)
Bi (0.990, 0.045, 0.758)
Bi (0.490, 0.455, 0.258)
O (0.330, 0.717, 0.059)
O (0.830, 0.783, 0.559)
O (0.670, 0.283, 0.941)
O (0.170, 0.217, 0.441)
O (0.296, 0.673, 0.456)
O (0.796, 0.827, 0.956)
O (0.704, 0.327, 0.544)
O (0.204, 0.173, 0.044)
O (0.892, 0.540, 0.270)
O (0.392, 0.960, 0.770)
O (0.108, 0.460, 0.730)
O (0.608, 0.040, 0.230)

M_tot, μB/f.u.: 0.00



(2)
First-principles (GGA-PBE) data for a geometry-optimized NaNdPb2Br8 structure, as listed in Alexandria.

abc: 7.209 6.853 9.012
angles: 90.00 90.00 89.41
Fractional coordinates of all 12 atoms:
Na (0.000, 0.000, 0.500)
Nd (0.000, 0.000, 0.000)
Pb (0.500, 0.500, 0.742)
Pb (0.500, 0.500, 0.258)
Br (0.154, 0.766, 0.241)
Br (0.670, 0.756, 0.000)
Br (0.846, 0.234, 0.241)
Br (0.846, 0.234, 0.759)
Br (0.330, 0.244, 0.000)
Br (0.154, 0.766, 0.759)
Br (0.660, 0.737, 0.500)
Br (0.340, 0.263, 0.500)

M_tot, μB/f.u.: 0.00



no.,electronic total energy (eV/cell),raw formation energy (meV/atom),DOS(E_F) (states/eV/cell)
1,-135.32,-2180,0.00
2,-42.82,-1327,0.00